GdTmNb2Sn2 | GGA-PBE | optimized geometry

Properties
total DFT energy (no corrections): -6.65 eV per atom

Cell lengths 4.192, 4.192, 8.147 Å; angles 90.00, 90.00, 90.00 degrees
Fractional coordinates of all 6 atoms:
1 Gd 0.000 0.000 0.000
2 Tm 0.500 0.500 0.298
3 Nb 0.000 0.500 0.645
4 Nb 0.500 0.000 0.645
5 Sn 0.000 0.000 0.392
6 Sn 0.500 0.500 0.898